ZrBe2Cl: optimized geometry, PBE.

Results
V (Å³ per cell): 59.53
Distance to the lowest polymorph of the same formula (kJ per mole of atoms): 62.9
Formation energy from raw total energies (eV/atom): 0.38
D(E_F) (states/eV per cell): 2.62

Lattice parameters (Å, degrees): 4.3829 4.3829 4.3829 60.00 60.00 60.00
Fractional coordinates of all 4 atoms:
Be (0.0000, 0.0000, 0.0000)
Be (0.2500, 0.2500, 0.2500)
Zr (0.7500, 0.7500, 0.7500)
Cl (0.5000, 0.5000, 0.5000)

***

TbPr3S: optimized geometry, PBE.

Results
V (Å³ per cell): 170.46
Formation energy from raw total energies (eV/atom): -0.66
D(E_F) (states/eV per cell): 5.37

Lattice parameters (Å, degrees): 5.5446 5.5446 5.5446 90.00 90.00 90.00
Fractional coordinates of all 5 atoms:
Pr (0.0000, 0.5000, 0.0000)
Pr (0.0000, 0.0000, 0.5000)
Pr (0.5000, 0.0000, 0.0000)
S (0.0000, 0.0000, 0.0000)
Tb (0.5000, 0.5000, 0.5000)

***

AcPm2Dy: optimized geometry, PBE.

Results
V (Å³ per cell): 145.57
Distance to the lowest polymorph of the same formula (kJ per mole of atoms): 12.3
D(E_F) (states/eV per cell): 10.75

Lattice parameters (Å, degrees): 5.9047 5.9047 5.9047 60.00 60.00 60.00
Fractional coordinates of all 4 atoms:
Ac (0.0000, 0.0000, 0.0000)
Pm (0.2500, 0.2500, 0.2500)
Pm (0.7500, 0.7500, 0.7500)
Dy (0.5000, 0.5000, 0.5000)

***

Question: Which value of D(E_F) does entry 2 give?
Answer: 5.37 states/eV per cell